Density functional theory data (PBE) for a relaxed structure of CdGa.

a b c (Å): 6.2531 6.2531 6.2531
angles (deg): 90.00 90.00 90.00
Last column: nearest neighbours and their distance in Å.
Space group F-43m (No. 216)
Inequivalent atoms, fractional coordinates:
1 Cd 0.0000 0.0000 0.0000  4 Ga 2.71
2 Ga 0.2500 0.2500 0.2500  4 Cd 2.71

density of states at the Fermi level	0.45	states/eV per atom
energy of formation from the pure elements	423	meV per atom
VASP energy	-0.0569	Ha/atom
offset from the most stable computed form	0.379	eV/atom

---

Density functional theory data (PBE) for a relaxed structure of Cd5Ga2.

a b c (Å): 9.7965 4.3020 7.2674
angles (deg): 90.00 96.16 90.00
Last column: nearest neighbours and their distance in Å.
Space group C2/m (No. 12)
Inequivalent atoms, fractional coordinates:
1 Cd 0.0000 0.0000 0.0000  8 Cd 3.07-3.28, 4 Ga 3.12
2 Cd 0.1419 0.0000 0.4292  7 Cd 3.07-3.28, 5 Ga 3.07-3.13
3 Cd 0.2167 0.5000 0.1448  8 Cd 3.07-3.25, 4 Ga 3.08-3.32
4 Ga 0.0675 0.5000 0.7119  11 Cd 3.07-3.32, 1 Ga 3.22

density of states at the Fermi level	0.36	states/eV per atom
energy of formation from the pure elements	43	meV per atom
VASP energy	-0.0542	Ha/atom
offset from the most stable computed form	0.000	eV/atom